DFT (GGA-PBE) results for a relaxed KCuMoS4 crystal.

Formation energy (no corrections) = -4.4 eV/f.u.
Symmetry = No. 63

abc: 7.341 7.341 7.551
angles: 90.00 90.00 106.78
Fractional coordinates of all 14 atoms:
K 0.500 0.500 0.000
K 0.500 0.500 0.500
Mo 0.123 0.877 0.250
S 0.775 0.225 0.503
S 0.786 0.806 0.750
S 0.806 0.786 0.250
S 0.225 0.775 0.003
Cu 0.110 0.890 0.750
Cu 0.890 0.110 0.250
Mo 0.877 0.123 0.750
S 0.775 0.225 0.997
S 0.194 0.214 0.750
S 0.225 0.775 0.497
S 0.214 0.194 0.250